one.
Compound: CsU2Se4
Source: Alexandria via LeMat-Bulk
Functional: GGA-PBE
Structure: relaxed

Calculated values
SG: Cmcm (63)
DOS(E_F), states/eV per atom: 1.833
V, Å³ per atom: 31.406

a b c (Å): 4.2369 7.3670 14.7077
angles (deg): 90.00 90.00 106.71
Fractional coordinates of all 14 atoms:
Cs 0.6051 0.2103 0.7500
Cs 0.3949 0.7897 0.2500
U 0.1335 0.2670 0.4364
U 0.8665 0.7330 0.9364
U 0.1335 0.2670 0.0636
U 0.8665 0.7330 0.5636
Se 0.7617 0.5233 0.1027
Se 0.7617 0.5233 0.3973
Se 0.2383 0.4767 0.8973
Se 0.2383 0.4767 0.6027
Se 0.9055 0.8111 0.7500
Se 0.0945 0.1889 0.2500
Se 0.5000 0.0000 0.0000
Se 0.5000 0.0000 0.5000


two.
Compound: CsU2Se4
Source: Alexandria via LeMat-Bulk
Functional: GGA-PBE
Structure: relaxed

Calculated values
SG: C2/m (12)
DOS(E_F), states/eV per atom: 1.378
V, Å³ per atom: 37.866

a b c (Å): 4.2031 7.1345 9.6695
angles (deg): 110.01 102.55 90.00
Fractional coordinates of all 7 atoms:
Cs 0.5000 0.5000 0.0000
U 0.2454 0.2427 0.4908
U 0.7546 0.7573 0.5092
Se 0.6586 0.9939 0.3173
Se 0.3414 0.0061 0.6827
Se 0.1624 0.5111 0.3247
Se 0.8376 0.4889 0.6753


Tell me which of them is the least stable. Sure, it is one.


one.
Compound: Cs2U3Se6
Source: Alexandria via LeMat-Bulk
Functional: GGA-PBE
Structure: relaxed

Calculated values
SG: C2/m (12)
DOS(E_F), states/eV per atom: 1.323
V, Å³ per atom: 35.789

a b c (Å): 7.2495 7.2501 8.9808
angles (deg): 82.26 74.37 60.00
Fractional coordinates of all 11 atoms:
Cs 0.1666 0.6669 0.5000
Cs 0.8334 0.3331 0.5000
U 0.0000 0.0000 0.0000
U 0.3337 0.3327 0.0000
U 0.6663 0.6673 0.0000
Se 0.3948 0.6667 0.8160
Se 0.7281 0.0000 0.8158
Se 0.0615 0.3333 0.8160
Se 0.2719 0.0000 0.1842
Se 0.6052 0.3333 0.1840
Se 0.9385 0.6667 0.1840


two.
Compound: Cs2U3Se6
Source: Alexandria via LeMat-Bulk
Functional: GGA-PBE
Structure: relaxed

Calculated values
SG: P-62m (189)
DOS(E_F), states/eV per atom: 1.420
V, Å³ per atom: 32.390

a b c (Å): 5.5205 8.6327 8.6327
angles (deg): 120.00 90.00 90.00
Fractional coordinates of all 11 atoms:
Cs 0.0000 0.6667 0.3333
Cs 0.0000 0.3333 0.6667
U 0.5000 0.2610 0.2610
U 0.5000 0.7390 0.0000
U 0.5000 0.0000 0.7390
Se 0.5000 0.6067 0.6067
Se 0.5000 0.0000 0.3933
Se 0.0000 0.2334 0.2334
Se 0.0000 0.7666 0.0000
Se 0.5000 0.3933 0.0000
Se 0.0000 0.0000 0.7666


Tell me which of them is the least stable. Sure, it is two.


one.
Compound: Cs2U2Se5
Source: Alexandria via LeMat-Bulk
Functional: GGA-PBE
Structure: relaxed

Calculated values
SG: C2/m (12)
DOS(E_F), states/eV per atom: 1.776
V, Å³ per atom: 42.160

a b c (Å): 5.6118 8.3324 8.9084
angles (deg): 103.80 90.00 109.68
Fractional coordinates of all 9 atoms:
Cs 0.3959 0.7917 0.6630
Cs 0.6041 0.2083 0.3370
U 0.1536 0.3073 0.9012
U 0.8464 0.6927 0.0988
Se 0.3337 0.6675 0.0578
Se 0.6663 0.3325 0.9422
Se 0.1423 0.2846 0.6053
Se 0.8577 0.7154 0.3947
Se 0.0000 0.0000 0.0000


two.
Compound: Cs2U2Se5
Source: Alexandria via LeMat-Bulk
Functional: GGA-PBE
Structure: relaxed

Calculated values
SG: Cmce (64)
DOS(E_F), states/eV per atom: 0.946
V, Å³ per atom: 31.184

a b c (Å): 7.9758 7.9715 9.6866
angles (deg): 114.30 90.00 90.00
Fractional coordinates of all 18 atoms:
Cs 0.0000 0.2063 0.4126
Cs 0.5000 0.7063 0.4126
Cs 0.0000 0.7937 0.5874
Cs 0.5000 0.2937 0.5874
U 0.6611 0.8390 0.0000
U 0.3389 0.1610 0.0000
U 0.1611 0.6610 0.0000
U 0.8389 0.3390 0.0000
Se 0.0000 0.0000 0.0000
Se 0.5000 0.5000 0.0000
Se 0.8559 0.7469 0.2054
Se 0.1441 0.4585 0.2054
Se 0.3559 0.9585 0.2054
Se 0.6441 0.2469 0.2054
Se 0.1441 0.2531 0.7946
Se 0.8559 0.5415 0.7946
Se 0.6441 0.0415 0.7946
Se 0.3559 0.7531 0.7946


Tell me which of them is the least stable. Sure, it is one.